This record from Alexandria describes a geometry-optimized Sc2AgRuCl structure. The functional is PBE.

formation energy from raw total energies	0.985	eV/atom
SG	P4/mmm (123)
total magnetic moment	0.7	μB/f.u.

The structure in POSCAR format:
```
Sc2AgRuCl
1.0
5.243 0.000 0.000
0.000 4.631 0.000
0.000 0.000 5.243
Sc Ru Ag Cl
2 1 1 1
Cartesian
0.000 0.000 2.621
2.621 0.000 0.000
2.621 2.315 2.621
0.000 0.000 0.000
0.000 2.315 0.000
```